(1)
RbLiPd: optimized geometry, PBE.

a = 4.913 Å, b = 3.463 Å, c = 14.075 Å
α = 90.00°, β = 90.00°, γ = 135.18°
Fractional positions:
Li 0.687 0.373 0.000
Li 0.196 0.393 0.500
Pd 0.696 0.392 0.404
Pd 0.696 0.392 0.596
Rb 0.196 0.391 0.759
Rb 0.196 0.391 0.241

Results
The total moment comes out at 0.000 μB per cell. For the volume, the calculation gives 84 Å³/f.u. The calculation puts the formation energy from the elements at 0.1380 eV/atom.


(2)
GaFeReH: optimized geometry, PBE.

a = 2.669 Å, b = 2.760 Å, c = 6.066 Å
α = 90.00°, β = 102.64°, γ = 90.00°
Fractional positions:
Ga 0.907 0.500 0.653
Fe 0.596 0.500 0.028
Re 0.238 0.000 0.314
H 0.068 0.000 0.994

Results
The total moment comes out at 0.000 μB per cell. For the volume, the calculation gives 44 Å³/f.u. The calculation puts the offset from the most stable computed form at 22 meV/atom.


(3)
ZnInTe2: optimized geometry, PBE.

a = 4.287 Å, b = 4.287 Å, c = 5.975 Å
α = 90.00°, β = 90.00°, γ = 90.00°
Fractional positions:
In 0.500 0.500 0.875
Te 0.000 0.000 0.875
Te 0.500 0.500 0.375
Zn 0.000 0.000 0.375

Results
For the total energy, the calculation gives -11.18 eV/cell. The total moment comes out at 0.000 μB per cell. For the volume, the calculation gives 110 Å³/f.u.


(4)
Mn2SiH4: optimized geometry, PBE.

a = 3.532 Å, b = 3.532 Å, c = 5.361 Å
α = 70.76°, β = 70.76°, γ = 90.00°
Site moments in Bohr magnetons follow the coordinates.
Fractional positions:
H 0.821 0.821 0.358  0.00
H 0.179 0.179 0.642  0.00
H 0.000 0.500 0.000  0.02
H 0.500 0.000 0.000  0.02
Si 0.000 0.000 0.000  -0.01
Mn 0.640 0.640 0.720  3.40
Mn 0.360 0.360 0.280  3.40

Results
For the total energy, the calculation gives -32.75 eV/cell. The total moment comes out at 6.996 μB per cell. For the volume, the calculation gives 59 Å³/f.u.


(5)
Sr3BiO5: optimized geometry, PBE.

a = 7.047 Å, b = 7.047 Å, c = 8.078 Å
α = 115.86°, β = 115.86°, γ = 90.00°
Site moments in Bohr magnetons follow the coordinates.
Fractional positions:
Sr 0.681 0.181 0.000  0.02
Sr 0.319 0.819 0.000  0.02
Sr 0.819 0.681 0.000  0.02
Sr 0.181 0.319 0.000  0.02
Sr 0.250 0.250 0.500  0.00
Sr 0.750 0.750 0.500  0.00
Bi 0.750 0.250 0.500  0.08
Bi 0.250 0.750 0.500  0.08
O 0.020 0.520 0.711  0.17
O 0.692 0.192 0.711  0.17
O 0.192 0.020 0.711  0.17
O 0.520 0.692 0.711  0.17
O 0.980 0.480 0.289  0.17
O 0.308 0.808 0.289  0.17
O 0.808 0.980 0.289  0.17
O 0.480 0.308 0.289  0.17
O 0.500 0.500 0.000  0.13
O 0.000 0.000 0.000  0.13

Results
For the total energy, the calculation gives -103.47 eV/cell. The total moment comes out at 2.150 μB per cell. For the volume, the calculation gives 158 Å³/f.u.


(6)
CuNiSe2: optimized geometry, PBE.

a = 3.129 Å, b = 3.126 Å, c = 6.371 Å
α = 90.00°, β = 90.00°, γ = 90.00°
Fractional positions:
Cu 0.500 0.500 0.250
Ni 0.500 0.500 0.750
Se 0.000 0.000 0.987
Se 0.000 0.000 0.513

Results
For the total energy, the calculation gives -15.84 eV/cell. The total moment comes out at 0.000 μB per cell. For the volume, the calculation gives 62 Å³/f.u.


(7)
Lu3Sc5O12: optimized geometry, PBE.

a = 11.013 Å, b = 11.013 Å, c = 11.013 Å
α = 109.47°, β = 109.47°, γ = 109.47°
Fractional positions:
Sc 0.125 0.375 0.250
Sc 0.000 0.500 0.000
Sc 0.000 0.000 0.000
Sc 0.375 0.250 0.125
Sc 0.500 0.000 0.500
Sc 0.500 0.500 0.000
Sc 0.125 0.750 0.375
Sc 0.750 0.125 0.875
Sc 0.750 0.625 0.375
Sc 0.375 0.125 0.750
Sc 0.625 0.875 0.250
Sc 0.500 0.500 0.500
Sc 0.500 0.000 0.000
Sc 0.000 0.000 0.500
Sc 0.250 0.375 0.625
Sc 0.250 0.875 0.125
Sc 0.000 0.500 0.500
Sc 0.875 0.250 0.625
Sc 0.625 0.750 0.875
Sc 0.875 0.625 0.750
Lu 0.750 0.375 0.125
Lu 0.875 0.750 0.125
Lu 0.375 0.750 0.625
Lu 0.250 0.125 0.375
Lu 0.875 0.125 0.250
Lu 0.375 0.625 0.250
Lu 0.625 0.375 0.750
Lu 0.125 0.875 0.750
Lu 0.750 0.875 0.625
Lu 0.625 0.250 0.375
Lu 0.125 0.250 0.875
Lu 0.250 0.625 0.875
O 0.716 0.130 0.040
O 0.324 0.540 0.410
O 0.960 0.370 0.284
O 0.540 0.216 0.130
O 0.586 0.716 0.676
O 0.960 0.590 0.176
O 0.324 0.784 0.414
O 0.090 0.914 0.130
O 0.590 0.960 0.676
O 0.716 0.586 0.176
O 0.784 0.460 0.370
O 0.824 0.910 0.040
O 0.130 0.716 0.540
O 0.370 0.410 0.086
O 0.086 0.910 0.370
O 0.414 0.130 0.590
O 0.086 0.176 0.216
O 0.460 0.676 0.090
O 0.824 0.914 0.284
O 0.130 0.414 0.090
O 0.370 0.960 0.784
O 0.590 0.630 0.414
O 0.910 0.824 0.540
O 0.784 0.324 0.914
O 0.410 0.370 0.586
O 0.090 0.176 0.460
O 0.216 0.676 0.086
O 0.176 0.086 0.716
O 0.630 0.040 0.216
O 0.870 0.586 0.910
O 0.540 0.324 0.910
O 0.586 0.870 0.410
O 0.914 0.824 0.784
O 0.914 0.090 0.630
O 0.870 0.284 0.460
O 0.176 0.090 0.960
O 0.630 0.590 0.914
O 0.410 0.040 0.324
O 0.284 0.414 0.824
O 0.216 0.540 0.630
O 0.910 0.086 0.870
O 0.676 0.216 0.586
O 0.460 0.784 0.870
O 0.040 0.410 0.824
O 0.414 0.284 0.324
O 0.040 0.630 0.716
O 0.676 0.460 0.590
O 0.284 0.870 0.960

Results
For the total energy, the calculation gives -695.24 eV/cell. The total moment comes out at 0.000 μB per cell. For the volume, the calculation gives 257 Å³/f.u.


(8)
Cs2IBr2: optimized geometry, PBE.

a = 8.239 Å, b = 8.239 Å, c = 7.547 Å
α = 44.42°, β = 44.42°, γ = 49.52°
Fractional positions:
Cs 0.705 0.705 0.828
Cs 0.295 0.295 0.172
I 0.000 0.000 0.000
Br 0.340 0.340 0.625
Br 0.660 0.660 0.375

Results
The total moment comes out at 0.000 μB per cell. For the volume, the calculation gives 241 Å³/f.u. The calculation puts the offset from the most stable computed form at 0 meV/atom.


Repeat the eighth record exactly.
Cs2IBr2: optimized geometry, PBE.

a = 8.239 Å, b = 8.239 Å, c = 7.547 Å
α = 44.42°, β = 44.42°, γ = 49.52°
Fractional positions:
Cs 0.705 0.705 0.828
Cs 0.295 0.295 0.172
I 0.000 0.000 0.000
Br 0.340 0.340 0.625
Br 0.660 0.660 0.375

Results
The total moment comes out at 0.000 μB per cell. For the volume, the calculation gives 241 Å³/f.u. The calculation puts the offset from the most stable computed form at 0 meV/atom.


- Which formula does entry 6 have?
  CuNiSe2